Material: AcWS6
Method: DFT, PBE-GGA
State: optimized geometry

Computed properties:
Energy relative to the elements, uncorrected   -0.62 eV per atom
Volume   22.6 Å³/atom
Energy   -93.64 eV per cell

Cell lengths 7.705, 7.128, 7.202 Å; angles 90.00, 113.83, 90.00 degrees
Space group C2/m (No. 12)
Inequivalent atoms, fractional coordinates:
Ac 0.000 0.000 0.000
W 0.000 0.500 0.500
S 0.159 0.255 0.746
S 0.233 0.000 0.573

=====

Material: AcW2S7
Method: DFT, PBE-GGA
State: optimized geometry

Computed properties:
Energy relative to the elements, uncorrected   -0.68 eV per atom
Volume   21.8 Å³/atom
Energy   -131.38 eV per cell

Cell lengths 7.750, 12.246, 4.597 Å; angles 90.00, 90.00, 90.00 degrees
Space group Cmmm (No. 65)
Inequivalent atoms, fractional coordinates:
Ac 0.000 0.000 0.000
W 0.000 0.310 0.500
S 0.000 0.295 0.000
S 0.000 0.500 0.500
S 0.183 0.139 0.500

=====

What is the energy relative to the elements, uncorrected in the second record? -0.68 eV per atom

=====

Among the records above, which one has the highest volume? AcWS6